# GGA-PBE Li4Pu3US8, relaxed
# * ΔE_f (raw): -143.47 kJ per mole of atoms
# * crystal system: monoclinic
# * E: -237.50 eV for the cell shown
data_Li4Pu3US8
_cell_length_a 13.072
_cell_length_b 7.938
_cell_length_c 7.639
_cell_angle_alpha 90.00
_cell_angle_beta 122.61
_cell_angle_gamma 90.00
_space_group_name_H-M_alt 'C 1 2/m 1'
_space_group_IT_number 12
loop_
_space_group_symop_operation_xyz
'x,y,z'
'-x,-y,-z'
'-x,y,-z'
'x,-y,z'
'x+1/2,y+1/2,z'
'-x+1/2,-y+1/2,-z'
'-x+1/2,y+1/2,-z'
'x+1/2,-y+1/2,z'
loop_
_atom_site_label
_atom_site_type_symbol
_atom_site_fract_x
_atom_site_fract_y
_atom_site_fract_z
Li1 Li 0.000 0.000 0.000
Li2 Li 0.000 0.500 0.000
Li3 Li 0.250 0.250 0.500
Pu1 Pu 0.000 0.000 0.500
Pu2 Pu 0.250 0.250 0.000
U1 U 0.000 0.500 0.500
S1 S 0.002 0.256 0.252
S2 S 0.247 0.500 0.744
S3 S 0.248 0.500 0.249